(1)
{"formula": "NdTiH3", "functional": "GGA-PBE", "state": "optimized geometry", "space_group": "Pm-3m", "total_energy_ev_per_atom": -4.884, "lattice": [[-0.3255, 3.7917, 0.3443], [-3.8052, -0.3356, 0.0985], [0.1279, -0.3344, 3.8044]], "species": ["H", "H", "Nd", "Ti", "H"], "frac_coords": [[0.5000, 0.0000, 0.0000], [0.0000, 0.0000, 0.5000], [0.5000, 0.5000, 0.5000], [0.0000, 0.0000, 0.0000], [0.0000, 0.5000, 0.0000]]}


(2)
{"formula": "Nd2TiH", "functional": "GGA-PBE", "state": "optimized geometry", "space_group": "R-3m", "total_energy_ev_per_atom": -4.917, "lattice": [[3.3211, 0.0000, 0.0000], [1.6605, 2.8762, 0.0000], [1.6605, 0.9587, 9.2708]], "species": ["Nd", "H", "Nd", "Ti"], "frac_coords": [[0.8915, 0.8915, 0.3255], [0.5000, 0.5000, 0.5000], [0.1085, 0.1085, 0.6745], [0.0000, 0.0000, 0.0000]]}


(3)
{"formula": "Nd8Tl5H", "functional": "GGA-PBE", "state": "optimized geometry", "space_group": "I-4", "total_energy_ev_per_atom": -4.027, "lattice": [[8.2224, -0.2201, 0.3783], [-2.9892, 7.6630, -0.3783], [-2.2440, -3.9835, 6.8481]], "species": ["Nd", "Tl", "Nd", "Tl", "Nd", "Nd", "H", "Nd", "Tl", "Nd", "Tl", "Tl", "Nd", "Nd"], "frac_coords": [[0.0691, 0.7698, 0.4689], [0.2940, 0.1122, 0.9445], [0.7007, 0.3998, 0.9309], [0.8322, 0.8878, 0.1817], [0.2156, 0.7377, 0.0259], [0.9741, 0.1897, 0.7118], [0.2500, 0.5000, 0.7500], [0.6990, 0.2302, 0.2993], [0.5000, 0.0000, 0.5000], [0.2882, 0.2623, 0.4779], [0.8183, 0.6505, 0.7060], [0.0555, 0.3495, 0.1678], [0.5311, 0.6002, 0.3010], [0.5221, 0.8103, 0.7844]]}


(4)
{"formula": "Nd4Tl2H", "functional": "GGA-PBE", "state": "optimized geometry", "space_group": "P2_1/m", "total_energy_ev_per_atom": -4.214, "lattice": [[6.4332, 0.0000, -0.4388], [0.0000, 6.8882, 0.0000], [-2.8667, 0.0000, 9.1637]], "species": ["Nd", "H", "Nd", "Nd", "Tl", "Tl", "Nd", "Nd", "H", "Nd", "Nd", "Nd", "Tl", "Tl"], "frac_coords": [[0.1123, 0.7500, 0.9316], [0.7296, 0.2500, 0.8035], [0.9169, 0.2500, 0.6316], [0.5337, 0.0015, 0.2741], [0.7974, 0.7500, 0.5855], [0.2026, 0.2500, 0.4145], [0.5337, 0.4985, 0.2741], [0.0831, 0.7500, 0.3684], [0.2704, 0.7500, 0.1965], [0.4663, 0.5015, 0.7259], [0.4663, 0.9985, 0.7259], [0.8877, 0.2500, 0.0684], [0.3082, 0.2500, 0.9597], [0.6918, 0.7500, 0.0403]]}


(5)
{"formula": "Nd3TlH", "functional": "GGA-PBE", "state": "optimized geometry", "space_group": "Pm-3m", "polymorph_energy_mev_per_atom": 0.0, "lattice": [[5.0222, 0.0000, 0.0000], [0.0000, 5.0222, 0.0000], [0.0000, 0.0000, 5.0222]], "species": ["H", "Nd", "Tl", "Nd", "Nd"], "frac_coords": [[0.0000, 0.0000, 0.0000], [0.0000, 0.5000, 0.0000], [0.5000, 0.5000, 0.5000], [0.5000, 0.0000, 0.0000], [0.0000, 0.0000, 0.5000]]}


(6)
{"formula": "Nd6Tl2H", "functional": "GGA-PBE", "state": "optimized geometry", "space_group": "P2_1/c", "total_energy_ev_per_atom": -4.295, "lattice": [[-6.1889, -2.3294, -0.8031], [-0.7327, -1.2667, 9.3205], [-1.6941, 8.3077, 0.9959]], "species": ["Tl", "Tl", "Nd", "H", "Nd", "Nd", "Nd", "Nd", "Tl", "H", "Nd", "Nd", "Nd", "Nd", "Nd", "Nd", "Nd", "Tl"], "frac_coords": [[0.3553, 0.0857, 0.1814], [0.6447, 0.9143, 0.8186], [0.8886, 0.7373, 0.5558], [0.0000, 0.0000, 0.5000], [0.3757, 0.5378, 0.7035], [0.1386, 0.3608, 0.0161], [0.6114, 0.2373, 0.9442], [0.3614, 0.8608, 0.4839], [0.8553, 0.4143, 0.6814], [0.5000, 0.5000, 0.0000], [0.3886, 0.7627, 0.0558], [0.6243, 0.4622, 0.2965], [0.8757, 0.9622, 0.2035], [0.6386, 0.1392, 0.5161], [0.1114, 0.2627, 0.4442], [0.1243, 0.0378, 0.7965], [0.8614, 0.6392, 0.9839], [0.1447, 0.5857, 0.3186]]}


(7)
{"formula": "Nd5Tl2H2", "functional": "GGA-PBE", "state": "optimized geometry", "space_group": "C2/m", "total_energy_ev_per_atom": -4.244, "lattice": [[-5.3195, -0.2291, -1.1890], [1.5610, -2.7844, 6.0686], [-0.7428, 6.4337, 2.0834]], "species": ["Nd", "Nd", "Tl", "Tl", "H", "Nd", "Nd", "H", "Nd"], "frac_coords": [[0.3280, 0.6559, 0.1087], [0.8477, 0.6954, 0.4571], [0.4236, 0.8473, 0.6795], [0.5764, 0.1527, 0.3205], [0.1668, 0.3336, 0.8869], [0.1523, 0.3046, 0.5429], [0.6720, 0.3441, 0.8913], [0.8332, 0.6664, 0.1131], [0.0000, 0.0000, 0.0000]]}


(8)
{"formula": "Nd5Tl2H", "functional": "GGA-PBE", "state": "optimized geometry", "space_group": "I4mm", "total_energy_ev_per_atom": -4.143, "lattice": [[7.1520, 0.0001, -0.0009], [0.0003, 7.1519, -0.0008], [-3.5764, -3.5763, 4.6272]], "species": ["Tl", "Nd", "Nd", "Nd", "Tl", "H", "Nd", "Nd"], "frac_coords": [[0.2529, 0.7527, 0.5057], [0.7559, 0.7559, 0.5115], [0.2516, 0.7512, 0.0028], [0.2516, 0.2516, 0.0029], [0.7527, 0.2529, 0.5057], [0.0097, 0.0097, 0.0198], [0.7513, 0.7513, 0.0029], [0.7512, 0.2516, 0.0028]]}


Number 1: total moment 0.000 μB/atom, calculated density 5.81 g/cm³. Number 2: total moment 0.464 μB/atom, calculated density 6.33 g/cm³. Number 3: total moment 0.000 μB/atom, calculated density 8.50 g/cm³. Number 4: total moment 0.000 μB/atom, calculated density 8.25 g/cm³. Number 5: total moment 0.279 μB/atom, calculated density 8.37 g/cm³. Number 6: total moment 0.000 μB/atom, calculated density 8.01 g/cm³. Number 7: total moment 0.000 μB/atom, calculated density 8.14 g/cm³. Number 8: total moment 0.000 μB/atom, calculated density 7.94 g/cm³.